1.
Compound: TaCu2Ni
Source: Alexandria
Functional: SCAN
Structure: PBEsol geometry Values from VASP.

- D(E_F): 0.63 states/eV/atom
- Uncorrected energy: -28.12 eV/atom
- Spin magnetization: 0.0 μB per formula unit
- Energy of formation from the pure elements: 0.1644 eV/atom

The structure in Quantum ESPRESSO input format:
```
&SYSTEM
  ibrav = 0, nat = 4, ntyp = 3
/
ATOMIC_SPECIES
Cu 63.55 Cu.upf
Ta 180.95 Ta.upf
Ni 58.69 Ni.upf
ATOMIC_POSITIONS angstrom
Cu -2.961 4.821 5.300
Cu 0.531 5.308 6.341
Ta -0.970 1.649 1.818
Ni -1.944 3.286 3.622
CELL_PARAMETERS angstrom
-2.137 1.553 -0.547
-2.369 -0.499 1.190
0.566 5.393 6.447
```

---

2.
Compound: TaCuNi
Source: Alexandria
Functional: SCAN
Structure: PBEsol geometry Values from VASP.

- D(E_F): 0.75 states/eV/atom
- Uncorrected energy: -32.76 eV/atom
- Spin magnetization: 0.0 μB per formula unit
- Distance to the lowest polymorph of the same formula: 0.004 eV/atom
- Energy of formation from the pure elements: -0.1124 eV/atom

The structure in Quantum ESPRESSO input format:
```
&SYSTEM
  ibrav = 0, nat = 3, ntyp = 3
/
ATOMIC_SPECIES
Ni 58.69 Ni.upf
Cu 63.55 Cu.upf
Ta 180.95 Ta.upf
ATOMIC_POSITIONS angstrom
Ni -0.446 2.345 0.016
Cu 0.000 0.000 0.000
Ta -2.004 0.823 1.651
CELL_PARAMETERS angstrom
-2.486 -0.468 -0.699
-1.078 -0.232 3.985
-0.130 3.633 -1.969
```

---

3.
Compound: TaCu2Ni
Source: Alexandria
Functional: SCAN
Structure: PBEsol geometry Values from VASP.

- D(E_F): 0.67 states/eV/atom
- Uncorrected energy: -28.06 eV/atom
- Spin magnetization: 0.4 μB per formula unit
- Energy of formation from the pure elements: 0.2313 eV/atom

The structure in Quantum ESPRESSO input format:
```
&SYSTEM
  ibrav = 0, nat = 4, ntyp = 3
/
ATOMIC_SPECIES
Cu 63.55 Cu.upf
Ni 58.69 Ni.upf
Ta 180.95 Ta.upf
ATOMIC_POSITIONS angstrom
Cu -3.483 4.191 5.447
Cu -1.142 1.469 2.033
Ni -2.313 2.830 3.740
Ta 0.000 0.000 0.000
CELL_PARAMETERS angstrom
-1.352 2.213 -0.612
-2.655 0.044 0.224
-0.617 3.402 7.868
```

---

4.
Compound: TaCuNi
Source: Alexandria
Functional: SCAN
Structure: PBEsol geometry Values from VASP.

- D(E_F): 0.33 states/eV/atom
- Uncorrected energy: -32.75 eV/atom
- Spin magnetization: 0.0 μB per formula unit
- Distance to the lowest polymorph of the same formula: 0.014 eV/atom
- Energy of formation from the pure elements: -0.1022 eV/atom

The structure in Quantum ESPRESSO input format:
```
&SYSTEM
  ibrav = 0, nat = 3, ntyp = 3
/
ATOMIC_SPECIES
Cu 63.55 Cu.upf
Ta 180.95 Ta.upf
Ni 58.69 Ni.upf
ATOMIC_POSITIONS angstrom
Cu 0.036 0.032 0.051
Ta 1.357 1.218 1.919
Ni -1.102 1.855 1.377
CELL_PARAMETERS angstrom
-1.050 2.768 -1.014
-2.473 -0.241 1.903
3.814 0.578 2.457
```

---

5.
Compound: Ta3CuNi
Source: Alexandria
Functional: SCAN
Structure: PBEsol geometry Values from VASP.

- D(E_F): 0.82 states/eV/atom
- Uncorrected energy: -45.14 eV/atom
- Spin magnetization: 0.0 μB per formula unit
- Energy of formation from the pure elements: 1.0868 eV/atom

The structure in Quantum ESPRESSO input format:
```
&SYSTEM
  ibrav = 0, nat = 5, ntyp = 3
/
ATOMIC_SPECIES
Ni 58.69 Ni.upf
Ta 180.95 Ta.upf
Cu 63.55 Cu.upf
ATOMIC_POSITIONS angstrom
Ni 0.000 0.000 0.000
Ta 0.000 0.000 2.258
Ta 2.258 0.000 0.000
Ta 0.000 2.258 0.000
Cu 2.258 2.258 2.258
CELL_PARAMETERS angstrom
4.515 0.000 0.000
0.000 4.515 0.000
0.000 0.000 4.515
```

---

6.
Compound: Ta4Cu3Ni9
Source: Alexandria
Functional: SCAN
Structure: PBEsol geometry Values from VASP.

- D(E_F): 0.43 states/eV/atom
- Uncorrected energy: -28.85 eV/atom
- Spin magnetization: 0.0 μB per formula unit
- Energy of formation from the pure elements: -0.2543 eV/atom

The structure in Quantum ESPRESSO input format:
```
&SYSTEM
  ibrav = 0, nat = 16, ntyp = 3
/
ATOMIC_SPECIES
Ta 180.95 Ta.upf
Ni 58.69 Ni.upf
Cu 63.55 Cu.upf
ATOMIC_POSITIONS angstrom
Ta -3.921 -1.200 -1.787
Ta -0.330 -0.604 -1.318
Ta -7.379 -4.111 0.413
Ta -3.868 -3.595 0.872
Ni -4.293 -1.029 0.717
Ni -5.226 -5.212 -0.487
Ni -6.028 -2.489 1.820
Ni -5.665 -2.683 -0.747
Ni -1.705 -2.242 -2.692
Ni -2.520 0.461 -0.422
Ni -6.976 -6.678 0.661
Ni -7.806 -3.988 2.940
Ni -3.471 -3.735 -1.603
Cu -2.149 0.268 -3.024
Cu -5.595 -5.012 2.140
Cu -2.068 -2.043 -0.103
CELL_PARAMETERS angstrom
-2.945 3.013 -0.643
-0.984 -1.801 -3.930
-7.050 -5.933 4.484
```

---

7.
Compound: TaCu2Ni
Source: Alexandria
Functional: SCAN
Structure: PBEsol geometry Values from VASP.

- D(E_F): 0.74 states/eV/atom
- Uncorrected energy: -28.30 eV/atom
- Spin magnetization: 0.0 μB per formula unit
- Energy of formation from the pure elements: -0.0083 eV/atom

The structure in Quantum ESPRESSO input format:
```
&SYSTEM
  ibrav = 0, nat = 4, ntyp = 3
/
ATOMIC_SPECIES
Cu 63.55 Cu.upf
Ta 180.95 Ta.upf
Ni 58.69 Ni.upf
ATOMIC_POSITIONS angstrom
Cu -5.562 5.163 0.634
Cu 0.000 0.000 0.000
Ta -1.854 1.721 0.211
Ni -3.708 3.442 0.423
CELL_PARAMETERS angstrom
-1.266 3.771 -1.165
-4.031 0.728 -0.637
-2.119 2.384 2.647
```

---

8.
Compound: TaCuNi4
Source: Alexandria
Functional: SCAN
Structure: PBEsol geometry Values from VASP.

- D(E_F): 0.68 states/eV/atom
- Uncorrected energy: -24.60 eV/atom
- Spin magnetization: 0.0 μB per formula unit
- Energy of formation from the pure elements: -0.1835 eV/atom

The structure in Quantum ESPRESSO input format:
```
&SYSTEM
  ibrav = 0, nat = 6, ntyp = 3
/
ATOMIC_SPECIES
Ni 58.69 Ni.upf
Ta 180.95 Ta.upf
Cu 63.55 Cu.upf
ATOMIC_POSITIONS angstrom
Ni 4.618 2.666 3.304
Ni 4.618 4.004 1.412
Ni 3.459 1.997 1.412
Ni 5.776 1.997 1.412
Ta 6.926 3.999 2.828
Cu 0.000 0.000 0.000
CELL_PARAMETERS angstrom
4.618 0.000 0.000
2.309 3.999 0.000
2.309 1.333 3.770
```